A plane-wave DFT calculation with PBE-GGA was carried out for a relaxed structure of Ho2Ga4Pd3Au.

The structure in CIF format:
```
data_Ho2Ga4Pd3Au
_space_group_name_H-M_alt 'P -4 m 2'
_space_group_IT_number 115
_cell_length_a 4.157
_cell_length_b 4.157
_cell_length_c 10.940
_cell_angle_alpha 90.00
_cell_angle_beta 90.00
_cell_angle_gamma 90.00
loop_
_space_group_symop_operation_xyz
'x,y,z'
'y,-x,-z'
'-x,-y,z'
'-y,x,-z'
'-x,y,z'
'-y,-x,-z'
'x,-y,z'
'y,x,-z'
loop_
_atom_site_label
_atom_site_fract_x
_atom_site_fract_y
_atom_site_fract_z
_atom_site_occupancy
Ho1 0.000 0.500 0.240 1
Ga1 0.000 0.000 0.000 1
Ga2 0.000 0.500 0.639 1
Ga3 0.500 0.500 0.000 1
Pd1 0.000 0.500 0.863 1
Pd2 0.500 0.500 0.500 1
Au1 0.000 0.000 0.500 1
```

The crystal system is tetragonal. The volume is 189.04 Å³/cell. The value obtained for the spin magnetization is 0.00 μB per formula unit. The value obtained for the total energy is -4.741 eV per atom.